(1)
Below is an optimized crystal structure of BaMg3Hg3, with properties calculated at the PBE level.

Structure (POSCAR):
```
BaMg3Hg3
1.0
7.4490 0.0000 0.0000
3.7245 6.4510 0.0000
3.7245 2.1503 8.4032
Ba Mg Hg
2 6 6
Cartesian
7.4490 4.3007 8.3185
7.4490 4.3007 0.0847
9.3074 6.0950 5.1390
8.0738 1.7942 5.1390
4.9659 5.0129 5.1390
9.9321 3.5885 3.2642
6.8243 6.8072 3.2642
5.5907 2.5064 3.2642
4.7487 5.0075 2.0995
8.1871 1.6088 2.0995
9.4113 6.2858 2.0995
5.4868 2.3156 6.3037
6.7110 6.9926 6.3037
10.1493 3.5939 6.3037
```

The electronic total energy is -18.00 eV/cell. The distance to the lowest polymorph of the same formula is 84 meV/atom.

***

(2)
Below is an optimized crystal structure of PrHoCoAg, with properties calculated at the PBE level.

Structure (POSCAR):
```
PrHoCoAg
1.0
5.0432 0.0000 0.0000
2.5216 4.3676 0.0000
2.5216 1.4559 4.1178
Pr Co Ho Ag
1 1 1 1
Cartesian
7.5649 4.3676 3.0883
0.0000 0.0000 0.0000
2.5216 1.4559 1.0294
5.0432 2.9117 2.0589
```

The electronic total energy is -19.71 eV/cell.

***

(3)
Below is an optimized crystal structure of Ba2AlHgPt, with properties calculated at the PBE level.

Structure (POSCAR):
```
Ba2AlHgPt
1.0
6.2138 0.0000 0.0000
0.0000 6.2138 0.0000
0.0000 0.0000 4.8158
Al Hg Pt Ba
1 1 1 2
Cartesian
0.0000 0.0000 2.4079
3.1069 3.1069 2.4079
0.0000 0.0000 0.0000
0.0000 3.1069 0.0000
3.1069 0.0000 0.0000
```

The electronic total energy is -16.58 eV/cell.

***

(4)
Below is an optimized crystal structure of BaCd11Rh, with properties calculated at the PBE level.

Structure (POSCAR):
```
BaCd11Rh
1.0
-3.9479 -3.1337 -2.5997
-0.7896 -6.8559 3.7256
-7.0625 1.3245 2.9424
Ba Cd Rh
1 11 1
Cartesian
0.0000 0.0000 0.0000
-2.8467 -2.1880 0.7172
-8.9533 -6.4772 3.3511
-4.0727 -6.5619 2.2277
-7.7273 -2.1032 1.8406
-6.5919 -4.6312 3.3489
-5.2081 -4.0339 0.7194
-8.7860 -4.6894 0.7567
-3.0140 -3.9757 3.3116
-0.3948 -3.4279 1.8628
-5.5052 -0.9046 0.1713
-3.5313 0.6622 1.4712
-2.3687 -4.9948 0.5630
```

The electronic total energy is -21.33 eV/cell.

***

(5)
Below is an optimized crystal structure of EuDyPd4, with properties calculated at the PBE level.

Structure (POSCAR):
```
EuDyPd4
1.0
5.4841 0.0000 0.0000
2.7421 4.7494 0.0000
2.7421 1.5831 4.4778
Eu Pd Dy
1 4 1
Cartesian
2.7421 1.5831 1.1194
5.4841 3.1663 0.5574
5.4841 1.5809 2.7994
6.8571 3.9589 2.7994
4.1112 3.9589 2.7994
0.0000 0.0000 0.0000
```

The electronic total energy is -40.09 eV/cell.

***

(6)
Below is an optimized crystal structure of ReMoW2, with properties calculated at the PBE level.

Structure (POSCAR):
```
ReMoW2
1.0
-3.8883 0.9680 -3.3925
-0.9884 -3.3952 3.8623
-1.6316 1.5305 1.5781
Re Mo W
1 1 2
Cartesian
-2.4383 -1.2136 0.2349
-1.3100 -0.9324 2.7202
0.0000 0.0000 0.0000
-2.7600 1.2493 -0.9072
```

The electronic total energy is -49.03 eV/cell. The distance to the lowest polymorph of the same formula is 32 meV/atom.

***

(7)
Below is an optimized crystal structure of ZrAsI2, with properties calculated at the PBE level.

Structure (POSCAR):
```
ZrAsI2
1.0
-1.6939 -1.6208 3.0557
6.1544 1.7259 4.2352
-5.4271 9.6219 -0.1552
I As Zr
4 2 2
Cartesian
-1.7056 8.8901 4.7073
-2.2000 2.8755 1.0670
-0.0860 5.1773 3.4608
-3.1188 7.8374 0.9355
1.1111 1.6826 4.6986
-0.1552 0.1876 3.1984
-1.2747 2.5353 3.8272
2.5242 0.6444 2.5023
```

The electronic total energy is -38.39 eV/cell. The distance to the lowest polymorph of the same formula is 59 meV/atom.

***

(8)
Below is an optimized crystal structure of VSe3, with properties calculated at the PBE level.

Structure (POSCAR):
```
VSe3
1.0
3.0102 0.0000 0.0000
0.0000 5.7776 0.0000
-1.5051 -2.8888 6.2081
Se V
3 1
Cartesian
0.0000 2.1692 4.5278
1.5051 2.1708 0.0000
1.5051 -0.7196 1.6803
0.0000 0.2314 0.0000
```

The electronic total energy is -21.09 eV/cell.

***

Look up the electronic total energy of the seventh one.
-38.39 eV/cell